Record 1
VASP calculation (PBE-GGA) on an optimized crystal structure of Tb4Dy15In.

CIF file:
```
data_Tb4Dy15In
_chemical_formula_sum 'Tb4 Dy15 In1'
_space_group_name_H-M_alt 'P 4/m m m'
_space_group_IT_number 123
_space_group_name_Hall '-P 4 2'
_cell_length_a 4.964
_cell_length_b 4.964
_cell_length_c 25.120
_cell_angle_alpha 90.00
_cell_angle_beta 90.00
_cell_angle_gamma 90.00
loop_
_atom_site_label
_atom_site_fract_x
_atom_site_fract_y
_atom_site_fract_z
Tb1 0.000 0.000 0.101
Tb2 0.000 0.000 0.302
Dy1 0.000 0.500 0.000
Dy2 0.000 0.500 0.202
Dy3 0.000 0.500 0.403
Dy4 0.500 0.500 0.101
Dy5 0.500 0.500 0.304
Dy6 0.500 0.500 0.500
In1 0.000 0.000 0.500
```

**Total magnetic moment**: 0.000 Bohr magnetons per cell
**Calculated formation energy**: -66.4 kJ/mol of formula units


Record 2
VASP calculation (PBE-GGA) on an optimized crystal structure of TbDyIn4.

CIF file:
```
data_TbDyIn4
_chemical_formula_sum 'Tb4 Dy4 In16'
_space_group_name_H-M_alt 'F -4 3 m'
_space_group_IT_number 216
_space_group_name_Hall 'F -4 2 3'
_cell_length_a 8.481
_cell_length_b 8.481
_cell_length_c 8.481
_cell_angle_alpha 90.00
_cell_angle_beta 90.00
_cell_angle_gamma 90.00
loop_
_atom_site_label
_atom_site_fract_x
_atom_site_fract_y
_atom_site_fract_z
Tb1 0.000 0.000 0.000
Dy1 0.250 0.250 0.750
In1 0.125 0.125 0.375
```

**Total magnetic moment**: 0.000 Bohr magnetons per cell
**Calculated formation energy**: -194.7 kJ/mol of formula units


Record 3
VASP calculation (PBE-GGA) on an optimized crystal structure of Tb9Dy2In.

CIF file:
```
data_Tb9Dy2In
_chemical_formula_sum 'Tb9 Dy2 In1'
_space_group_name_H-M_alt 'P 4/m m m'
_space_group_IT_number 123
_space_group_name_Hall '-P 4 2'
_cell_length_a 4.951
_cell_length_b 4.951
_cell_length_c 15.119
_cell_angle_alpha 90.00
_cell_angle_beta 90.00
_cell_angle_gamma 90.00
loop_
_atom_site_label
_atom_site_fract_x
_atom_site_fract_y
_atom_site_fract_z
Tb1 0.000 0.000 0.000
Tb2 0.000 0.000 0.329
Tb3 0.000 0.500 0.162
Tb4 0.000 0.500 0.500
Dy1 0.500 0.500 0.332
In1 0.500 0.500 0.000
```

**Total magnetic moment**: 0.000 Bohr magnetons per cell
**Calculated formation energy**: -79.9 kJ/mol of formula units


Record 4
VASP calculation (PBE-GGA) on an optimized crystal structure of TbDy3In4.

CIF file:
```
data_TbDy3In4
_chemical_formula_sum 'Tb2 Dy6 In8'
_space_group_name_H-M_alt 'I m m m'
_space_group_IT_number 71
_space_group_name_Hall '-I 2 2'
_cell_length_a 3.468
_cell_length_b 7.085
_cell_length_c 18.704
_cell_angle_alpha 90.00
_cell_angle_beta 90.00
_cell_angle_gamma 90.00
loop_
_atom_site_label
_atom_site_fract_x
_atom_site_fract_y
_atom_site_fract_z
Tb1 0.000 0.000 0.000
Dy1 0.000 0.000 0.500
Dy2 0.000 0.500 0.280
In1 0.000 0.287 0.127
```

**Total magnetic moment**: 0.519 Bohr magnetons per cell
**Calculated formation energy**: -238.1 kJ/mol of formula units


Record 5
VASP calculation (PBE-GGA) on an optimized crystal structure of Tb14DyIn.

CIF file:
```
data_Tb14DyIn
_chemical_formula_sum 'Tb14 Dy1 In1'
_space_group_name_H-M_alt 'P 4/m m m'
_space_group_IT_number 123
_space_group_name_Hall '-P 4 2'
_cell_length_a 7.057
_cell_length_b 7.057
_cell_length_c 10.020
_cell_angle_alpha 90.00
_cell_angle_beta 90.00
_cell_angle_gamma 90.00
loop_
_atom_site_label
_atom_site_fract_x
_atom_site_fract_y
_atom_site_fract_z
Tb1 0.000 0.000 0.000
Tb2 0.000 0.500 0.000
Tb3 0.000 0.500 0.500
Tb4 0.250 0.250 0.253
Tb5 0.500 0.500 0.000
Dy1 0.000 0.000 0.500
In1 0.500 0.500 0.500
```

**Total magnetic moment**: 0.000 Bohr magnetons per cell
**Calculated formation energy**: -48.4 kJ/mol of formula units


Record 6
VASP calculation (PBE-GGA) on an optimized crystal structure of TbDy3In3.

CIF file:
```
data_TbDy3In3
_chemical_formula_sum 'Tb4 Dy12 In12'
_space_group_name_H-M_alt 'P 21 3'
_space_group_IT_number 198
_space_group_name_Hall 'P 2ac 2ab 3'
_cell_length_a 9.320
_cell_length_b 9.320
_cell_length_c 9.320
_cell_angle_alpha 90.00
_cell_angle_beta 90.00
_cell_angle_gamma 90.00
loop_
_atom_site_label
_atom_site_fract_x
_atom_site_fract_y
_atom_site_fract_z
Tb1 0.074 0.426 0.574
Dy1 0.076 0.576 0.924
Dy2 0.176 0.176 0.176
Dy3 0.176 0.824 0.324
In1 0.000 0.251 0.876
```

**Total magnetic moment**: 0.000 Bohr magnetons per cell
**Calculated formation energy**: -212.3 kJ/mol of formula units


Record 7
VASP calculation (PBE-GGA) on an optimized crystal structure of TbDy6In2.

CIF file:
```
data_TbDy6In2
_chemical_formula_sum 'Tb2 Dy12 In4'
_space_group_name_H-M_alt 'C 1 2/m 1'
_space_group_IT_number 12
_cell_length_a 12.721
_cell_length_b 3.744
_cell_length_c 11.893
_cell_angle_alpha 90.00
_cell_angle_beta 108.11
_cell_angle_gamma 90.00
loop_
_space_group_symop_operation_xyz
'x,y,z'
'-x,-y,-z'
'-x,y,-z'
'x,-y,z'
'x+1/2,y+1/2,z'
'-x+1/2,-y+1/2,-z'
'-x+1/2,y+1/2,-z'
'x+1/2,-y+1/2,z'
loop_
_atom_site_label
_atom_site_fract_x
_atom_site_fract_y
_atom_site_fract_z
Tb1 0.000 0.000 0.000
Dy1 0.015 0.000 0.342
Dy2 0.185 0.500 0.876
Dy3 0.190 0.500 0.585
In1 0.143 0.500 0.207
```

**Total magnetic moment**: 0.000 Bohr magnetons per cell
**Calculated formation energy**: -176.6 kJ/mol of formula units


Record 8
VASP calculation (PBE-GGA) on an optimized crystal structure of Tb6Dy8In.

CIF file:
```
data_Tb6Dy8In
_chemical_formula_sum 'Tb6 Dy8 In1'
_space_group_name_H-M_alt 'P -3'
_space_group_IT_number 147
_cell_length_a 9.3128
_cell_length_b 9.3128
_cell_length_c 6.3537
_cell_angle_alpha 90.00
_cell_angle_beta 90.00
_cell_angle_gamma 120.00
loop_
_space_group_symop_operation_xyz
'x,y,z'
'-x,-y,-z'
'-y,x-y,z'
'y,-x+y,-z'
'-x+y,-x,z'
'x-y,x,-z'
loop_
_atom_site_label
_atom_site_fract_x
_atom_site_fract_y
_atom_site_fract_z
Tb1 0.0929 0.4506 0.1781
Dy1 0.0388 0.2667 0.6849
Dy2 0.3333 0.6667 0.6698
In1 0.0000 0.0000 0.0000
```

**Total magnetic moment**: 0.000 Bohr magnetons per cell
**Calculated formation energy**: 118.2 kJ/mol of formula units


Record 9
VASP calculation (PBE-GGA) on an optimized crystal structure of Tb3Dy2In4.

CIF file:
```
data_Tb3Dy2In4
_chemical_formula_sum 'Tb12 Dy8 In16'
_space_group_name_H-M_alt 'C m c e'
_space_group_IT_number 64
_space_group_name_Hall '-C 2ac 2'
_cell_length_a 7.048
_cell_length_b 15.598
_cell_length_c 9.674
_cell_angle_alpha 90.00
_cell_angle_beta 90.00
_cell_angle_gamma 90.00
loop_
_atom_site_label
_atom_site_fract_x
_atom_site_fract_y
_atom_site_fract_z
Tb1 0.000 0.000 0.000
Tb2 0.250 0.219 0.250
Dy1 0.000 0.107 0.547
In1 0.000 0.194 0.977
In2 0.250 0.014 0.250
```

**Total magnetic moment**: 0.000 Bohr magnetons per cell
**Calculated formation energy**: -217.3 kJ/mol of formula units


Record 10
VASP calculation (PBE-GGA) on an optimized crystal structure of Tb2Dy7In2.

CIF file:
```
data_Tb2Dy7In2
_chemical_formula_sum 'Tb4 Dy14 In4'
_space_group_name_H-M_alt 'I m m 2'
_space_group_IT_number 44
_cell_length_a 3.620
_cell_length_b 17.231
_cell_length_c 11.029
_cell_angle_alpha 90.00
_cell_angle_beta 90.00
_cell_angle_gamma 90.00
loop_
_space_group_symop_operation_xyz
'x,y,z'
'-x,-y,z'
'-x,y,z'
'x,-y,z'
'x+1/2,y+1/2,z+1/2'
'-x+1/2,-y+1/2,z+1/2'
'-x+1/2,y+1/2,z+1/2'
'x+1/2,-y+1/2,z+1/2'
loop_
_atom_site_label
_atom_site_fract_x
_atom_site_fract_y
_atom_site_fract_z
Tb1 0.000 0.220 0.000
Dy1 0.000 0.000 0.938
Dy2 0.000 0.106 0.503
Dy3 0.000 0.326 0.257
Dy4 0.000 0.347 0.741
In1 0.000 0.000 0.243
In2 0.000 0.500 0.195
```

**Total magnetic moment**: 0.000 Bohr magnetons per cell
**Calculated formation energy**: -42.8 kJ/mol of formula units


Record 11
VASP calculation (PBE-GGA) on an optimized crystal structure of Tb3Dy2In3.

CIF file:
```
data_Tb3Dy2In3
_chemical_formula_sum 'Tb3 Dy2 In3'
_space_group_name_H-M_alt 'P m m m'
_space_group_IT_number 47
_cell_length_a 4.916
_cell_length_b 4.919
_cell_length_c 9.170
_cell_angle_alpha 90.00
_cell_angle_beta 90.00
_cell_angle_gamma 90.00
loop_
_space_group_symop_operation_xyz
'x,y,z'
'-x,-y,-z'
'-x,-y,z'
'x,y,-z'
'x,-y,-z'
'-x,y,z'
'-x,y,-z'
'x,-y,z'
loop_
_atom_site_label
_atom_site_fract_x
_atom_site_fract_y
_atom_site_fract_z
Tb1 0.000 0.000 0.000
Tb2 0.500 0.000 0.263
Dy1 0.000 0.500 0.264
In1 0.000 0.000 0.500
In2 0.500 0.500 0.000
In3 0.500 0.500 0.500
```

**Total magnetic moment**: 1.130 Bohr magnetons per cell
**Calculated formation energy**: -273.1 kJ/mol of formula units


Record 12
VASP calculation (PBE-GGA) on an optimized crystal structure of Tb3Dy2In7.

CIF file:
```
data_Tb3Dy2In7
_chemical_formula_sum 'Tb6 Dy4 In14'
_space_group_name_H-M_alt 'C m m m'
_space_group_IT_number 65
_space_group_name_Hall '-C 2 2'
_cell_length_a 4.825
_cell_length_b 30.341
_cell_length_c 4.675
_cell_angle_alpha 90.00
_cell_angle_beta 90.00
_cell_angle_gamma 90.00
loop_
_atom_site_label
_atom_site_fract_x
_atom_site_fract_y
_atom_site_fract_z
Tb1 0.000 0.000 0.000
Tb2 0.000 0.147 0.000
Dy1 0.000 0.341 0.500
In1 0.000 0.077 0.500
In2 0.000 0.226 0.500
In3 0.000 0.422 0.000
In4 0.000 0.500 0.500
```

**Total magnetic moment**: 0.284 Bohr magnetons per cell
**Calculated formation energy**: -269.8 kJ/mol of formula units


Record 13
VASP calculation (PBE-GGA) on an optimized crystal structure of Tb3Dy2In3.

CIF file:
```
data_Tb3Dy2In3
_chemical_formula_sum 'Tb6 Dy4 In6'
_space_group_name_H-M_alt 'I m m m'
_space_group_IT_number 71
_space_group_name_Hall '-I 2 2'
_cell_length_a 3.772
_cell_length_b 5.346
_cell_length_c 22.356
_cell_angle_alpha 90.00
_cell_angle_beta 90.00
_cell_angle_gamma 90.00
loop_
_atom_site_label
_atom_site_fract_x
_atom_site_fract_y
_atom_site_fract_z
Tb1 0.000 0.000 0.000
Tb2 0.000 0.500 0.124
Dy1 0.000 0.000 0.235
In1 0.000 0.000 0.500
In2 0.000 0.500 0.381
```

**Total magnetic moment**: 0.000 Bohr magnetons per cell
**Calculated formation energy**: -282.6 kJ/mol of formula units


Record 14
VASP calculation (PBE-GGA) on an optimized crystal structure of TbDy5In6.

CIF file:
```
data_TbDy5In6
_chemical_formula_sum 'Tb1 Dy5 In6'
_space_group_name_H-M_alt 'P 1 2/m 1'
_space_group_IT_number 10
_cell_length_a 5.324
_cell_length_b 7.499
_cell_length_c 8.415
_cell_angle_alpha 90.00
_cell_angle_beta 108.29
_cell_angle_gamma 90.00
loop_
_space_group_symop_operation_xyz
'x,y,z'
'-x,-y,-z'
'-x,y,-z'
'x,-y,z'
loop_
_atom_site_label
_atom_site_fract_x
_atom_site_fract_y
_atom_site_fract_z
Tb1 0.000 0.000 0.000
Dy1 0.000 0.500 0.000
Dy2 0.333 0.000 0.666
Dy3 0.334 0.500 0.667
In1 0.167 0.251 0.334
In2 0.500 0.250 0.000
```

**Total magnetic moment**: 0.000 Bohr magnetons per cell
**Calculated formation energy**: -543.0 kJ/mol of formula units


Record 15
VASP calculation (PBE-GGA) on an optimized crystal structure of Tb5DyIn4.

CIF file:
```
data_Tb5DyIn4
_chemical_formula_sum 'Tb5 Dy1 In4'
_space_group_name_H-M_alt 'P 4/m m m'
_space_group_IT_number 123
_space_group_name_Hall '-P 4 2'
_cell_length_a 3.579
_cell_length_b 3.579
_cell_length_c 21.823
_cell_angle_alpha 90.00
_cell_angle_beta 90.00
_cell_angle_gamma 90.00
loop_
_atom_site_label
_atom_site_fract_x
_atom_site_fract_y
_atom_site_fract_z
Tb1 0.000 0.000 0.000
Tb2 0.000 0.000 0.193
Tb3 0.000 0.000 0.385
Dy1 0.500 0.500 0.500
In1 0.500 0.500 0.096
In2 0.500 0.500 0.290
```

**Total magnetic moment**: 0.000 Bohr magnetons per cell
**Calculated formation energy**: -366.3 kJ/mol of formula units


Record 16
VASP calculation (PBE-GGA) on an optimized crystal structure of Tb4Dy2In.

CIF file:
```
data_Tb4Dy2In
_chemical_formula_sum 'Tb32 Dy16 In8'
_space_group_name_H-M_alt 'F d d 2'
_space_group_IT_number 43
_space_group_name_Hall 'F 2 -2d'
_cell_length_a 10.180
_cell_length_b 21.840
_cell_length_c 7.904
_cell_angle_alpha 90.00
_cell_angle_beta 90.00
_cell_angle_gamma 90.00
loop_
_atom_site_label
_atom_site_fract_x
_atom_site_fract_y
_atom_site_fract_z
Tb1 0.012 0.081 0.000
Tb2 0.038 0.385 0.921
Dy1 0.035 0.262 0.576
In1 0.000 0.000 0.655
```

**Total magnetic moment**: 0.000 Bohr magnetons per cell
**Calculated formation energy**: -25.9 kJ/mol of formula units


Record 17
VASP calculation (PBE-GGA) on an optimized crystal structure of Tb2Dy7In.

CIF file:
```
data_Tb2Dy7In
_chemical_formula_sum 'Tb4 Dy14 In2'
_space_group_name_H-M_alt 'C m m m'
_space_group_IT_number 65
_space_group_name_Hall '-C 2 2'
_cell_length_a 8.660
_cell_length_b 16.202
_cell_length_c 5.309
_cell_angle_alpha 90.00
_cell_angle_beta 90.00
_cell_angle_gamma 90.00
loop_
_atom_site_label
_atom_site_fract_x
_atom_site_fract_y
_atom_site_fract_z
Tb1 0.000 0.207 0.000
Dy1 0.000 0.000 0.000
Dy2 0.000 0.298 0.500
Dy3 0.177 0.394 0.000
In1 0.000 0.500 0.500
```

**Total magnetic moment**: 0.000 Bohr magnetons per cell
**Calculated formation energy**: 560.0 kJ/mol of formula units


Record 18
VASP calculation (PBE-GGA) on an optimized crystal structure of Tb9DyIn2.

CIF file:
```
data_Tb9DyIn2
_chemical_formula_sum 'Tb9 Dy1 In2'
_space_group_name_H-M_alt 'P 4/m m m'
_space_group_IT_number 123
_space_group_name_Hall '-P 4 2'
_cell_length_a 4.886
_cell_length_b 4.886
_cell_length_c 14.967
_cell_angle_alpha 90.00
_cell_angle_beta 90.00
_cell_angle_gamma 90.00
loop_
_atom_site_label
_atom_site_fract_x
_atom_site_fract_y
_atom_site_fract_z
Tb1 0.000 0.000 0.000
Tb2 0.000 0.000 0.337
Tb3 0.000 0.500 0.172
Tb4 0.000 0.500 0.500
Dy1 0.500 0.500 0.000
In1 0.500 0.500 0.339
```

**Total magnetic moment**: 0.000 Bohr magnetons per cell
**Calculated formation energy**: -194.9 kJ/mol of formula units


Record 19
VASP calculation (PBE-GGA) on an optimized crystal structure of TbDy2In4.

CIF file:
```
data_TbDy2In4
_chemical_formula_sum 'Tb2 Dy4 In8'
_space_group_name_H-M_alt 'I 4/m m m'
_space_group_IT_number 139
_space_group_name_Hall '-I 4 2'
_cell_length_a 5.250
_cell_length_b 5.250
_cell_length_c 14.634
_cell_angle_alpha 90.00
_cell_angle_beta 90.00
_cell_angle_gamma 90.00
loop_
_atom_site_label
_atom_site_fract_x
_atom_site_fract_y
_atom_site_fract_z
Tb1 0.000 0.000 0.000
Dy1 0.000 0.000 0.252
In1 0.000 0.500 0.116
```

**Total magnetic moment**: 0.002 Bohr magnetons per cell
**Calculated formation energy**: -209.0 kJ/mol of formula units


Record 20
VASP calculation (PBE-GGA) on an optimized crystal structure of Tb6Dy2In.

CIF file:
```
data_Tb6Dy2In
_chemical_formula_sum 'Tb24 Dy8 In4'
_space_group_name_H-M_alt 'C 1 2/c 1'
_space_group_IT_number 15
_cell_length_a 14.965
_cell_length_b 8.504
_cell_length_c 9.087
_cell_angle_alpha 90.00
_cell_angle_beta 100.30
_cell_angle_gamma 90.00
loop_
_space_group_symop_operation_xyz
'x,y,z'
'-x,-y,-z'
'-x,y,-z+1/2'
'x,-y,z+1/2'
'x+1/2,y+1/2,z'
'-x+1/2,-y+1/2,-z'
'-x+1/2,y+1/2,-z+1/2'
'x+1/2,-y+1/2,z+1/2'
loop_
_atom_site_label
_atom_site_fract_x
_atom_site_fract_y
_atom_site_fract_z
Tb1 0.083 0.191 0.122
Tb2 0.114 0.448 0.831
Tb3 0.142 0.228 0.527
Dy1 0.221 0.084 0.859
In1 0.000 0.122 0.750
```

**Total magnetic moment**: 0.000 Bohr magnetons per cell
**Calculated formation energy**: 33.6 kJ/mol of formula units